Record 1
5
Lattice="-3.9019 -0.2189 -1.1259 0.8509 -3.2293 -2.3211 -3.4108 -7.7605 5.9839" Properties=species:S:1:pos:R:3 comment="PBE Ba2Ag2Hg, optimized geometry" spacegroup=I4/mmm dos_at_fermi_per_ev_cell=2.989 formation_energy_ev_per_atom=-0.2303 pbc="T T T"
Ba -1.9277 -3.0118 -0.0793
Ag -2.0427 -6.3570 0.9697
Hg 0.0000 0.0000 0.0000
Ag -4.4191 -4.8517 1.5673
Ba -4.5341 -8.1969 2.6163

=====

Record 2
8
Lattice="-0.4850 -3.4132 2.3788 -0.9724 -2.2356 -3.4060 16.1450 -3.7781 -2.1296" Properties=species:S:1:pos:R:3 comment="PBE Ba4AgHg3, optimized geometry" spacegroup=P4/mmm dos_at_fermi_per_ev_cell=7.408 formation_energy_ev_per_atom=-0.4456 pbc="T T T"
Ag -0.7287 -2.8244 -0.5136
Hg 3.2549 -3.7566 -1.0390
Ba 1.9771 -0.4627 -0.2608
Hg 7.3438 -4.7135 -1.5783
Ba 10.0970 -2.3628 -1.3318
Ba 14.1678 -3.3154 -1.8688
Hg 11.4327 -5.6703 -2.1177
Ba 6.0480 -1.4153 -0.7977

=====

no.,spin magnetization (μB per formula unit)
1,0.000
2,0.000